{"formula": "MgCuIr", "functional": "PBE", "state": "relaxed", "lattice_angstrom": [[-1.498, 2.923, -2.818], [-1.679, -3.988, 0.079], [-1.831, 0.806, 1.810]], "species": ["Ir", "Mg", "Cu"], "frac_coords": [[0.667, 0.333, 0.304], [0.333, 0.667, 0.713], [0.000, 0.000, 0.983]], "final_energy_ry_per_atom": -0.3605, "e_above_lowest_polymorph_mev_per_atom": 153, "formation_enthalpy_0k_ev_per_fu": -0.2, "spacegroup": "P3m1, No. 156"}